Compound: Mn3Co
Source: Alexandria
Functional: meta-GGA SCAN
Structure: PBEsol geometry

Geometry as POSCAR:
```
Mn3Co
1.0
8.0712 0.0000 0.0000
0.0000 2.4204 0.0000
-0.7114 0.0000 4.1749
Mn Co
6 2
Cartesian
0.0000 0.0000 0.0000 Mn
1.4781 0.0000 3.1254 Mn
1.8461 1.2102 1.0495 Mn
4.0356 1.2102 0.0000 Mn
5.5137 1.2102 3.1254 Mn
5.8817 0.0000 1.0495 Mn
-0.3557 1.2102 2.0874 Co
3.6799 0.0000 2.0874 Co
```

As for the space group: C2/m, No. 12. The energy relative to the elements is 218 meV/atom. For the total moment, the calculation gives 5.34 Bohr magnetons per cell.

Compound: Mn3Co
Source: Alexandria
Functional: meta-GGA SCAN
Structure: PBEsol geometry

Geometry as POSCAR:
```
Mn3Co
1.0
4.8860 0.0000 0.0000
-2.4430 4.2314 0.0000
0.0000 0.0000 7.8414
Mn Co
12 4
Cartesian
-1.2215 2.1157 0.0000 Mn
-1.2215 2.1157 3.9207 Mn
0.0000 1.4320 1.9603 Mn
-1.2028 3.5154 1.9603 Mn
1.2401 0.7160 5.8810 Mn
2.4430 0.0000 0.0000 Mn
2.4430 0.0000 3.9207 Mn
1.2215 2.1157 0.0000 Mn
1.2215 2.1157 3.9207 Mn
1.2028 3.5154 1.9603 Mn
3.6458 0.7160 5.8810 Mn
2.4430 2.7994 5.8810 Mn
0.0000 0.0000 0.0000 Co
0.0000 0.0000 3.9207 Co
0.0000 2.8209 5.8810 Co
2.4430 1.4105 1.9603 Co
```

As for the space group: P6_3/mmc, No. 194. The energy relative to the elements is 123 meV/atom. For the total moment, the calculation gives 0.97 Bohr magnetons per cell.

Please write out number 1 again, unchanged.
Compound: Mn3Co
Source: Alexandria
Functional: meta-GGA SCAN
Structure: PBEsol geometry

Geometry as POSCAR:
```
Mn3Co
1.0
8.0712 0.0000 0.0000
0.0000 2.4204 0.0000
-0.7114 0.0000 4.1749
Mn Co
6 2
Cartesian
0.0000 0.0000 0.0000 Mn
1.4781 0.0000 3.1254 Mn
1.8461 1.2102 1.0495 Mn
4.0356 1.2102 0.0000 Mn
5.5137 1.2102 3.1254 Mn
5.8817 0.0000 1.0495 Mn
-0.3557 1.2102 2.0874 Co
3.6799 0.0000 2.0874 Co
```

As for the space group: C2/m, No. 12. The energy relative to the elements is 218 meV/atom. For the total moment, the calculation gives 5.34 Bohr magnetons per cell.

Q: energy relative to the elements of number 2 (Mn3Co)?
A: 123 meV/atom

Q: Number 1 is which compound?
A: Mn3Co